# 1
Material: RbCoRu
Method: DFT, PBE
State: optimized geometry

Calculated values
- energy relative to the elements (eV/atom) = 0.842
- space-group type = P1, No. 1
- relative energy among the computed polymorphs (eV/atom) = 0.210
- Fermi-level density of states (states/eV per atom) = 0.727

a = 3.938 Å, b = 5.295 Å, c = 9.364 Å
α = 89.65°, β = 78.83°, γ = 68.35°
Fractional coordinates of all 6 atoms:
Rb 0.000 0.000 0.000
Rb 0.492 0.442 0.622
Co 0.360 0.971 0.336
Co 0.878 0.853 0.425
Ru 0.144 0.435 0.297
Ru 0.622 0.581 0.188

=====

# 2
Material: Tc2Hg3O8
Method: DFT, PBE
State: optimized geometry

Calculated values
- DFT total energy (eV/atom) = -5.643
- space-group type = R-3m, No. 166
- Fermi-level density of states (states/eV per atom) = 0.291

a = 9.367 Å, b = 9.367 Å, c = 9.367 Å
α = 39.65°, β = 39.65°, γ = 39.65°
Fractional coordinates of all 13 atoms:
Tc 0.135 0.135 0.135
Tc 0.865 0.865 0.865
Hg 0.333 0.333 0.333
Hg 0.500 0.500 0.500
Hg 0.667 0.667 0.667
O 0.190 0.734 0.734
O 0.201 0.201 0.201
O 0.266 0.266 0.810
O 0.266 0.810 0.266
O 0.734 0.190 0.734
O 0.734 0.734 0.190
O 0.799 0.799 0.799
O 0.810 0.266 0.266